[1]
Computed, not measured: an optimized crystal structure of Ac12TmSn7 at the PBE-GGA level of DFT.

Calculated values
DFT formation energy: -262.9 meV per atom
ρ: 7.04 g/cm³
Spin magnetization: 0.3 μB/cell
Space-group type: R-3, No. 148

```
20
Lattice="-2.451 -6.695 -7.311 5.872 -4.895 6.770 -8.644 2.596 4.777" Properties=species:S:1:pos:R:3 pbc="T T T"
Ac -6.043 -0.166 2.140
Ac -2.195 -1.652 3.813
Ac 0.564 -4.536 1.091
Ac -7.058 -5.683 -0.940
Ac -4.197 -3.459 7.309
Ac -1.576 -6.094 4.860
Ac 1.836 -3.310 5.176
Ac -1.025 -5.535 -3.072
Ac 0.820 -8.828 2.096
Ac -5.786 -4.457 3.146
Ac -3.646 -2.899 -0.623
Ac -3.027 -7.342 0.423
Tm 0.000 0.000 0.000
Sn -2.611 -4.497 2.118
Sn 0.874 -1.585 2.537
Sn -2.273 -8.907 3.231
Sn -0.465 -2.702 -1.483
Sn -6.096 -7.409 1.699
Sn -2.949 -0.087 1.006
Sn -4.758 -6.292 5.720
```


[2]
Computed, not measured: an optimized crystal structure of Tl2ZnAg2 at the PBE-GGA level of DFT.

Calculated values
DFT formation energy: 144.9 meV per atom
ρ: 9.81 g/cm³
Spin magnetization: 0.0 μB/cell
Space-group type: P4/mbm, No. 127

```
10
Lattice="-1.441 6.883 0.258 -6.565 -1.452 2.079 1.398 0.124 4.502" Properties=species:S:1:pos:R:3 pbc="T T T"
Ag -5.463 4.955 1.560
Ag -2.543 0.476 0.777
Ag -6.131 1.206 1.870
Ag -1.875 4.225 0.466
Tl -5.723 3.456 4.152
Tl -2.676 5.304 3.154
Tl -3.932 0.251 3.684
Tl -0.885 2.099 2.687
Zn 0.000 0.000 0.000
Zn -4.003 2.715 1.168
```


[3]
Computed, not measured: an optimized crystal structure of DyAl2Ag2 at the PBE-GGA level of DFT.

Calculated values
DFT formation energy: -95.6 meV per atom
ρ: 6.61 g/cm³
Spin magnetization: 0.0 μB/cell
Space-group type: P-3m1, No. 164

```
5
Lattice="4.678 0.000 0.000 -2.339 4.051 0.000 0.000 0.000 5.732" Properties=species:S:1:pos:R:3 pbc="T T T"
Al 0.000 2.701 3.901
Al 2.339 1.350 1.831
Dy 0.000 0.000 0.000
Ag 2.339 1.350 4.396
Ag 0.000 2.701 1.336
```


[4]
Computed, not measured: an optimized crystal structure of U2CoTc at the PBE-GGA level of DFT.

Calculated values
DFT formation energy: 151.0 meV per atom
ρ: 13.77 g/cm³
Spin magnetization: 0.0 μB/cell
Space-group type: R-3m, No. 166

```
4
Lattice="3.901 0.000 0.000 1.951 3.379 0.000 1.951 1.126 5.791" Properties=species:S:1:pos:R:3 pbc="T T T"
Tc 3.901 2.252 2.896
U 5.852 3.379 4.415
U 1.951 1.126 1.376
Co 0.000 0.000 0.000
```


[5]
Computed, not measured: an optimized crystal structure of CaZrTlH2 at the PBE-GGA level of DFT.

Calculated values
ρ: 5.46 g/cm³
Spin magnetization: 0.0 μB/cell
Space-group type: P4/mmm, No. 123

```
5
Lattice="-1.533 3.755 -1.106 -5.404 -2.120 0.295 -0.213 1.106 4.050" Properties=species:S:1:pos:R:3 pbc="T T T"
H -0.106 0.553 2.025
H -0.767 1.877 -0.553
Zr 0.000 0.000 0.000
Ca -3.575 1.371 1.620
Tl -2.702 -1.060 0.147
```


[6]
Computed, not measured: an optimized crystal structure of TbYAs2 at the PBE-GGA level of DFT.

Calculated values
DFT formation energy: -1397.8 meV per atom
ρ: 6.48 g/cm³
Spin magnetization: 0.0 μB/cell
Space-group type: R3m, No. 160

```
4
Lattice="-1.898 2.451 2.669 -3.481 -1.213 1.773 1.888 -2.464 6.741" Properties=species:S:1:pos:R:3 pbc="T T T"
As -0.888 -0.295 2.774
As 0.983 -1.757 5.448
Tb -1.720 -0.633 5.627
Y -1.724 -1.619 9.665
```


[7]
Computed, not measured: an optimized crystal structure of LiZnRu2 at the PBE-GGA level of DFT.

Calculated values
DFT formation energy: 197.6 meV per atom
ρ: 8.31 g/cm³
Spin magnetization: 0.0 μB/cell
Space-group type: I4/mmm, No. 139

```
4
Lattice="-3.385 -3.521 -0.295 1.630 -4.600 -0.361 0.867 3.856 2.885" Properties=species:S:1:pos:R:3 pbc="T T T"
Li -1.698 -1.863 1.131
Ru -0.878 -4.060 -0.328
Ru 0.000 0.000 0.000
Zn 0.810 -2.402 1.098
```


[8]
Computed, not measured: an optimized crystal structure of PrSm2Ag3 at the PBE-GGA level of DFT.

Calculated values
DFT formation energy: -270.6 meV per atom
ρ: 8.13 g/cm³
Spin magnetization: 0.0 μB/cell
Space-group type: P4/mmm, No. 123

```
6
Lattice="3.720 0.000 0.000 0.000 3.720 0.000 0.000 0.000 11.294" Properties=species:S:1:pos:R:3 pbc="T T T"
Pr 1.860 1.860 5.647
Sm 1.860 1.860 1.855
Sm 1.860 1.860 9.439
Ag 0.000 0.000 3.669
Ag 0.000 0.000 0.000
Ag 0.000 0.000 7.625
```


[9]
Computed, not measured: an optimized crystal structure of PuZnF4 at the PBE-GGA level of DFT.

Calculated values
ΔE_f (raw): -2.581 eV per atom
ρ: 6.58 g/cm³
Spin magnetization: 5.7 μB/cell
Space-group type: I-4, No. 82

```
6
Lattice="5.881 0.000 0.000 0.000 5.881 0.000 -2.940 -2.940 2.811" Properties=species:S:1:pos:R:3 pbc="T T T"
Zn 2.940 2.940 0.000
F 1.422 4.304 0.153
F 4.458 1.576 0.153
F 1.364 1.518 2.658
F -1.364 -1.518 2.658
Pu 2.940 0.000 1.405
```


[10]
Computed, not measured: an optimized crystal structure of Rb2OsCl4F2 at the PBE-GGA level of DFT.

Calculated values
ΔE_f (raw): -1.528 eV per atom
ρ: 3.82 g/cm³
Spin magnetization: 2.0 μB/cell
Space-group type: C2/m, No. 12

```
9
Lattice="-2.431 3.304 -4.184 -0.632 -4.542 -4.950 -6.064 -2.914 -0.508" Properties=species:S:1:pos:R:3 pbc="T T T"
Os -1.215 1.652 -2.092
Rb -4.163 0.220 -5.172
Rb -4.964 -4.372 -4.470
Cl -4.179 -2.554 -7.270
Cl -4.948 -1.598 -2.372
Cl -2.070 -2.460 -4.725
Cl -7.057 -1.692 -4.917
F -1.528 -0.241 -1.780
F -7.599 -3.911 -7.862
```


[11]
Computed, not measured: an optimized crystal structure of Tl2HgCl2 at the PBE-GGA level of DFT.

Calculated values
ΔE_f (raw): -0.751 eV per atom
ρ: 7.14 g/cm³
Spin magnetization: 0.0 μB/cell
Space-group type: P4/mbm, No. 127

```
10
Lattice="-5.247 3.846 5.972 -6.950 -4.317 -3.326 0.675 -3.066 2.568" Properties=species:S:1:pos:R:3 pbc="T T T"
Cl -2.550 -0.874 2.830
Cl -6.496 0.228 5.183
Cl -5.026 -3.764 0.031
Cl -8.972 -2.662 2.384
Tl -4.425 1.854 3.377
Tl -3.224 -0.953 -0.290
Tl -7.772 -2.324 -0.731
Tl -8.974 0.482 2.936
Hg 0.000 0.000 0.000
Hg -6.099 -0.235 1.323
```


[12]
Computed, not measured: an optimized crystal structure of Cd2NCl at the PBE-GGA level of DFT.

Calculated values
ΔE_f (raw): -0.140 eV per atom
ρ: 4.99 g/cm³
Spin magnetization: 0.0 μB/cell
Space-group type: I-42d, No. 122

```
8
Lattice="-1.669 -0.303 5.528 2.821 -5.014 0.577 5.078 0.047 4.560" Properties=species:S:1:pos:R:3 pbc="T T T"
Cd 4.553 -2.514 5.773
Cd 0.764 -0.771 4.055
Cd 2.639 -3.194 2.804
Cd 4.503 -4.062 8.698
Cl 1.992 -1.457 6.570
Cl 0.000 0.000 0.000
N 0.576 -2.659 3.052
N 4.237 -3.813 4.095
```


[13]
Computed, not measured: an optimized crystal structure of TbY6Er2Th3 at the PBE-GGA level of DFT.

Calculated values
DFT formation energy: 27.7 meV per atom
ρ: 7.46 g/cm³
Spin magnetization: 0.0 μB/cell
Space-group type: C2/m, No. 12

```
12
Lattice="6.188 0.000 0.003 -3.092 5.360 0.003 -1.040 -1.801 11.567" Properties=species:S:1:pos:R:3 pbc="T T T"
Th 4.123 -0.007 5.786
Th 1.028 1.780 5.786
Th -2.067 3.567 5.786
Y -1.034 1.783 2.929
Y -0.005 -0.008 8.641
Y 2.061 -0.005 2.929
Y -0.005 3.564 8.644
Y 3.090 1.777 8.644
Y 2.060 3.568 2.932
Er 3.095 1.787 0.003
Er 0.001 3.574 0.003
Tb 0.000 0.000 0.000
```


[14]
Computed, not measured: an optimized crystal structure of LaAsAuBrF at the PBE-GGA level of DFT.

Calculated values
ΔE_f (raw): -1.679 eV per atom
ρ: 6.27 g/cm³
Spin magnetization: 0.0 μB/cell
Space-group type: P1, No. 1

```
5
Lattice="4.227 0.000 -0.001 2.114 3.662 -0.001 2.082 -1.149 8.720" Properties=species:S:1:pos:R:3 pbc="T T T"
Au 5.360 0.543 2.620
La 3.249 1.766 4.996
Br 5.362 0.546 6.959
F 3.248 -0.675 5.132
As 5.360 2.983 2.045
```


[15]
Computed, not measured: an optimized crystal structure of HgSbCl3 at the PBE-GGA level of DFT.

Calculated values
ΔE_f (raw): -0.652 eV per atom
ρ: 3.75 g/cm³
Spin magnetization: 0.0 μB/cell
Space-group type: P2_1/m, No. 11

```
10
Lattice="-0.886 0.664 -3.818 -5.755 -8.222 -0.094 -8.317 4.055 2.635" Properties=species:S:1:pos:R:3 pbc="T T T"
Hg -11.302 -0.829 -0.626
Hg -3.656 -2.674 -0.652
Sb -6.914 1.852 -1.178
Sb -8.044 -5.354 -0.100
Cl -5.969 -6.248 -0.736
Cl -8.989 2.746 -0.541
Cl -7.164 -0.154 0.601
Cl -7.793 -3.348 -1.878
Cl -11.438 -4.996 0.750
Cl -3.520 1.493 -2.028
```


[16]
Computed, not measured: an optimized crystal structure of Mn3FeH at the PBE-GGA level of DFT.

Calculated values
ρ: 4.29 g/cm³
Spin magnetization: 10.3 μB/cell
Space-group type: Pm-3m, No. 221

```
5
Lattice="4.409 0.000 0.000 0.000 4.409 0.000 0.000 0.000 4.409" Properties=species:S:1:pos:R:3 pbc="T T T"
Mn 2.205 0.000 0.000
Mn 0.000 0.000 2.205
Mn 0.000 2.205 0.000
H 2.205 2.205 2.205
Fe 0.000 0.000 0.000
```


[17]
Computed, not measured: an optimized crystal structure of MgTaCu at the PBE-GGA level of DFT.

Calculated values
DFT formation energy: 2034.5 meV per atom
ρ: 6.85 g/cm³
Spin magnetization: 0.0 μB/cell
Space-group type: P6_3/mmc, No. 194

```
6
Lattice="-2.093 -2.193 -2.218 -0.274 -0.299 3.734 -7.731 7.358 0.021" Properties=species:S:1:pos:R:3 pbc="T T T"
Cu -7.285 3.957 -0.218
Cu -2.813 0.909 1.755
Mg -1.933 1.840 0.005
Mg -5.799 5.519 0.016
Ta -3.866 3.679 0.010
Ta 0.000 0.000 0.000
```


[18]
Computed, not measured: an optimized crystal structure of TaCo2Hg at the PBE-GGA level of DFT.

Calculated values
DFT formation energy: 483.9 meV per atom
ρ: 13.63 g/cm³
Spin magnetization: 2.5 μB/cell
Space-group type: F-43m, No. 216

```
4
Lattice="-1.730 2.768 -2.973 -4.190 -0.494 -1.300 -3.056 2.938 1.235" Properties=species:S:1:pos:R:3 pbc="T T T"
Hg -4.488 2.606 -1.519
Ta -6.732 3.909 -2.279
Co -2.244 1.303 -0.760
Co 0.000 0.000 0.000
```


[19]
Computed, not measured: an optimized crystal structure of HgBi2Te2 at the PBE-GGA level of DFT.

Calculated values
ΔE_f (raw): -0.058 eV per atom
ρ: 7.88 g/cm³
Spin magnetization: 0.0 μB/cell
Space-group type: I4/mmm, No. 139

```
5
Lattice="-3.751 -4.699 0.728 3.260 -3.216 -3.964 2.623 -5.667 2.128" Properties=species:S:1:pos:R:3 pbc="T T T"
Te -0.687 -7.162 0.619
Te 2.818 -6.420 -1.727
Bi 1.452 -9.073 -0.699
Bi 0.680 -4.509 -0.410
Hg 0.000 0.000 0.000
```


[20]
Computed, not measured: an optimized crystal structure of EuInSb at the PBE-GGA level of DFT.

Calculated values
ΔE_f (raw): -0.450 eV per atom
ρ: 6.93 g/cm³
Spin magnetization: 7.2 μB/cell
Space-group type: I4mm, No. 107

```
3
Lattice="4.444 0.000 0.000 0.000 4.444 0.000 -2.222 -2.222 4.714" Properties=species:S:1:pos:R:3 pbc="T T T"
Sb 0.000 0.000 2.567
In 2.222 2.222 4.292
Eu 2.222 2.222 1.156
```


no.,VASP energy (Ry/atom)
1,-0.3199
2,-0.1615
3,-0.2685
4,-0.7248
5,-0.2836
6,-0.4775
7,-0.3849
8,-0.2988
9,-0.4725
10,-0.3107
11,-0.1835
12,-0.2309
13,-0.4561
14,-0.3645
15,-0.1944
16,-0.4691
17,-0.2803
18,-0.4489
19,-0.2152
20,-0.4529